## Ac5MgSe8 (GGA-PBE)

Data for a relaxed structure of Ac5MgSe8.

Lattice parameters (Å, degrees): 8.0910 8.0910 8.0910 110.03 110.03 108.36
Last column: nearest neighbours and their distance in Å.
Fractional positions:
Ac  0.0000  0.0000  0.0000  8 Se 3.14-3.35
Ac  0.2525  0.1309  0.6128  7 Se 3.10-3.33
Ac  0.3603  0.7475  0.8784  7 Se 3.10-3.33
Ac  0.5181  0.6397  0.3872  7 Se 3.10-3.33
Ac  0.8691  0.4819  0.1216  7 Se 3.10-3.33
Mg  0.7500  0.2500  0.5000  4 Se 2.91
Se  0.0967  0.3531  0.8666  1 Mg 2.91, 2 Ac 3.12-3.18
Se  0.1453  0.3866  0.4037  5 Ac 3.10-3.29
Se  0.2584  0.8547  0.2412  5 Ac 3.10-3.29
Se  0.4864  0.2301  0.1334  1 Mg 2.91, 2 Ac 3.12-3.18
Se  0.6134  0.0171  0.7588  5 Ac 3.10-3.29
Se  0.6469  0.5136  0.7437  1 Mg 2.91, 2 Ac 3.12-3.18
Se  0.7699  0.9033  0.2563  1 Mg 2.91, 2 Ac 3.12-3.18
Se  0.9829  0.7416  0.5963  5 Ac 3.10-3.29

Values from the calculation:
* E_form (uncorrected): -1.848 eV per atom
* SG: I-4, No. 82
* total moment: 0.000 μB/atom
* electronic total energy: -5.420 eV/atom